(1)
HfBiP2Ir | SCAN | PBEsol geometry

Properties
- space group = P4/mmm, No. 123
- raw total energy (eV/cell) = -229.63
- magnetization (μB/f.u.) = 0.00
- calculated formation energy (kJ/mol of atoms) = 67.8

abc: 4.8468 4.8468 4.8918
angles: 90.00 90.00 90.00
Last column: nearest neighbours and their distance in Å.
Positions (direct):
1 P 0.0000 0.5000 0.0000  2 Hf 2.42
2 P 0.5000 0.0000 0.0000  2 Hf 2.42
3 Bi 0.5000 0.5000 0.5000  4 Ir 3.43, 8 P 3.44
4 Ir 0.0000 0.0000 0.5000  2 Hf 2.45
5 Hf 0.0000 0.0000 0.0000  4 P 2.42, 2 Ir 2.45


(2)
La3Mo | SCAN | PBEsol geometry

Properties
- space group = Fm-3m, No. 225
- raw total energy (eV/cell) = -162.35
- magnetization (μB/f.u.) = 0.00
- calculated formation energy (kJ/mol of atoms) = 44.6

abc: 5.2441 5.2441 5.2441
angles: 60.00 60.00 60.00
Last column: nearest neighbours and their distance in Å.
Positions (direct):
1 La 0.2500 0.2500 0.2500  4 Mo 3.21, 4 La 3.21
2 La 0.5000 0.5000 0.5000  8 La 3.21
3 La 0.7500 0.7500 0.7500  4 La 3.21, 4 Mo 3.21
4 Mo 0.0000 0.0000 0.0000  8 La 3.21


(3)
Zr2CuBr | SCAN | PBEsol geometry

Properties
- space group = P4/mmm, No. 123
- raw total energy (eV/cell) = -96.44
- relative energy among the computed polymorphs (kJ/mol of formula units) = 27.3
- magnetization (μB/f.u.) = 0.00

abc: 3.0930 4.8076 4.8076
angles: 90.00 90.00 90.00
Last column: nearest neighbours and their distance in Å.
Positions (direct):
1 Br 0.5000 0.5000 0.5000  8 Zr 2.86, 2 Br 3.09
2 Cu 0.5000 0.0000 0.0000  8 Zr 2.86, 2 Cu 3.09
3 Zr 0.0000 0.5000 0.0000  4 Br 2.86, 4 Cu 2.86, 2 Zr 3.09
4 Zr 0.0000 0.0000 0.5000  4 Br 2.86, 4 Cu 2.86, 2 Zr 3.09


(4)
Ba3In | SCAN | PBEsol geometry

Properties
- space group = Immm, No. 71
- raw total energy (eV/cell) = -153.08
- magnetization (μB/f.u.) = 1.30
- calculated formation energy (kJ/mol of atoms) = -25.2

abc: 4.3688 6.2340 7.6839
angles: 113.93 106.52 90.00
Last column: nearest neighbours and their distance in Å.
Positions (direct):
1 Ba 0.2946 0.2946 0.5892  2 In 3.51
2 Ba 0.5000 0.0000 0.0000  4 In 3.81, 4 Ba 4.15
3 Ba 0.7054 0.7054 0.4108  2 In 3.51
4 In 0.0000 0.5000 0.0000  8 Ba 3.51-3.81


(5)
TcW2Cl | SCAN | PBEsol geometry

Properties
- space group = P4/mmm, No. 123
- raw total energy (eV/cell) = -176.75
- relative energy among the computed polymorphs (kJ/mol of formula units) = 343.5
- magnetization (μB/f.u.) = 0.00

abc: 3.6917 3.6917 4.5064
angles: 90.00 90.00 90.00
Last column: nearest neighbours and their distance in Å.
Positions (direct):
1 W 0.0000 0.5000 0.0000  4 W 2.61, 4 Cl 2.91, 4 Tc 2.91
2 W 0.5000 0.0000 0.0000  4 W 2.61, 4 Cl 2.91, 4 Tc 2.91
3 Cl 0.5000 0.5000 0.5000  4 Tc 2.61, 8 W 2.91
4 Tc 0.0000 0.0000 0.5000  4 Cl 2.61, 8 W 2.91


(6)
Al2AsRu | SCAN | PBEsol geometry

Properties
- space group = F-43m, No. 216
- raw total energy (eV/cell) = -70.93
- magnetization (μB/f.u.) = 0.00
- calculated formation energy (kJ/mol of atoms) = -10.0

abc: 4.3668 4.3668 4.3668
angles: 60.00 60.00 60.00
Last column: nearest neighbours and their distance in Å.
Positions (direct):
1 Ru 0.7500 0.7500 0.7500  4 As 2.67, 4 Al 2.67
2 Al 0.0000 0.0000 0.0000  4 Ru 2.67, 4 Al 2.67
3 Al 0.2500 0.2500 0.2500  4 As 2.67, 4 Al 2.67
4 As 0.5000 0.5000 0.5000  4 Al 2.67, 4 Ru 2.67


(7)
In2OsSe | SCAN | PBEsol geometry

Properties
- space group = I-4m2, No. 119
- raw total energy (eV/cell) = -156.03
- magnetization (μB/f.u.) = 0.00

abc: 4.2824 4.2824 5.0538
angles: 115.07 115.07 90.00
Last column: nearest neighbours and their distance in Å.
Positions (direct):
1 Os 0.5000 0.5000 0.0000  8 In 2.95-3.03, 4 Se 2.95
2 In 0.0000 0.0000 0.0000  4 Se 2.95, 4 In 2.95, 4 Os 3.03
3 In 0.7500 0.2500 0.5000  4 Os 2.95, 4 In 2.95, 4 Se 3.03
4 Se 0.2500 0.7500 0.5000  8 In 2.95-3.03, 4 Os 2.95


(8)
KYAl2 | SCAN | PBEsol geometry

Properties
- space group = R-3m, No. 166
- raw total energy (eV/cell) = -50.77
- magnetization (μB/f.u.) = 0.00
- calculated formation energy (kJ/mol of atoms) = 21.7

abc: 3.4191 3.4191 10.8511
angles: 80.94 80.94 60.00
Last column: nearest neighbours and their distance in Å.
Positions (direct):
1 Al 0.7415 0.7415 0.7755  3 Y 3.10, 6 Al 3.42
2 Al 0.2585 0.2585 0.2245  3 Y 3.10, 6 Al 3.42
3 Y 0.0000 0.0000 0.0000  6 Al 3.10, 6 Y 3.42
4 K 0.5000 0.5000 0.5000  6 K 3.42, 6 Al 3.54


(9)
LiTiPO5 | SCAN | PBEsol geometry

Properties
- space group = P-1, No. 2
- raw total energy (eV/cell) = -331.67
- relative energy among the computed polymorphs (kJ/mol of formula units) = 11.9
- magnetization (μB/f.u.) = 0.00

abc: 6.8964 7.1424 7.8841
angles: 90.60 91.34 117.01
Last column: nearest neighbours and their distance in Å.
Positions (direct):
1 O 0.7297 0.7393 0.1702  1 Ti 1.75, 1 Li 1.92
2 O 0.7567 0.5910 0.4887  1 P 1.54
3 O 0.0798 0.6559 0.2451  1 P 1.54
4 O 0.2433 0.4090 0.5113  1 P 1.54
5 O 0.4477 0.9109 0.1785  1 P 1.54
6 O 0.2527 0.5789 0.9902  1 P 1.55
7 O 0.9202 0.3441 0.7549  1 P 1.54
8 O 0.1380 0.8688 0.9780  1 P 1.55
9 O 0.9475 0.9120 0.6812  1 P 1.53
10 O 0.3547 0.1145 0.5202  1 P 1.56
11 O 0.0525 0.0880 0.3188  1 P 1.53
12 O 0.6453 0.8855 0.4798  1 P 1.56
13 O 0.4244 0.3444 0.2591  1 P 1.54
14 O 0.5756 0.6556 0.7409  1 P 1.54
15 O 0.5523 0.0891 0.8215  1 P 1.54
16 O 0.2333 0.7424 0.6714  1 Ti 1.75, 1 Li 1.94
17 O 0.7667 0.2576 0.3286  1 Ti 1.75, 1 Li 1.94
18 O 0.2703 0.2607 0.8298  1 Ti 1.75, 1 Li 1.92
19 O 0.7473 0.4211 0.0098  1 P 1.55
20 O 0.8620 0.1312 0.0220  1 P 1.55
21 P 0.7702 0.2477 0.9057  4 O 1.54-1.55
22 P 0.7300 0.7601 0.5941  4 O 1.53-1.56
23 P 0.2298 0.7523 0.0943  4 O 1.54-1.55
24 P 0.2700 0.2399 0.4059  4 O 1.53-1.56
25 Ti 0.7544 0.4854 0.2611  2 O 1.75-1.94
26 Ti 0.2456 0.5146 0.7389  2 O 1.75-1.94
27 Ti 0.7516 0.9832 0.2378  3 O 1.75-1.96
28 Ti 0.2484 0.0168 0.7622  3 O 1.75-1.96
29 Li 0.7902 0.7106 0.9370  4 O 1.92-2.15
30 Li 0.6911 0.1905 0.5630  4 O 1.94-2.15
31 Li 0.3089 0.8095 0.4370  4 O 1.94-2.15
32 Li 0.2098 0.2894 0.0630  4 O 1.92-2.15


(10)
LaScFe | SCAN | PBEsol geometry

Properties
- space group = F-43m, No. 216
- raw total energy (eV/cell) = -73.15
- relative energy among the computed polymorphs (kJ/mol of formula units) = 179.0
- magnetization (μB/f.u.) = 1.55
- calculated formation energy (kJ/mol of atoms) = 74.7

abc: 4.5010 4.5010 4.5010
angles: 60.00 60.00 60.00
Last column: nearest neighbours and their distance in Å.
Positions (direct):
1 Sc 0.2500 0.2500 0.2500  4 La 2.76, 4 Fe 2.76
2 La 0.5000 0.5000 0.5000  4 Sc 2.76
3 Fe 0.0000 0.0000 0.0000  4 Sc 2.76


(11)
KHf2Al2 | SCAN | PBEsol geometry

Properties
- space group = P4/mbm, No. 127
- raw total energy (eV/cell) = -297.07
- magnetization (μB/f.u.) = 0.04
- calculated formation energy (kJ/mol of atoms) = 12.5

abc: 2.8838 8.8685 8.8685
angles: 90.00 90.00 90.00
Last column: nearest neighbours and their distance in Å.
Positions (direct):
1 Al 0.0000 0.1648 0.3352  2 Al 2.88, 6 Hf 2.97-3.00
2 Al 0.0000 0.8352 0.6648  2 Al 2.88, 6 Hf 2.97-3.00
3 Al 0.0000 0.6648 0.1648  2 Al 2.88, 6 Hf 2.97-3.00
4 Al 0.0000 0.3352 0.8352  2 Al 2.88, 6 Hf 2.97-3.00
5 Hf 0.5000 0.1258 0.6258  3 Hf 2.88-3.15, 6 Al 2.97-3.00
6 Hf 0.5000 0.3742 0.1258  3 Hf 2.88-3.15, 6 Al 2.97-3.00
7 Hf 0.5000 0.8742 0.3742  3 Hf 2.88-3.15, 6 Al 2.97-3.00
8 Hf 0.5000 0.6258 0.8742  3 Hf 2.88-3.15, 6 Al 2.97-3.00
9 K 0.0000 0.5000 0.5000  2 K 2.88
10 K 0.0000 0.0000 0.0000  2 K 2.88


(12)
SiRhBr | SCAN | PBEsol geometry

Properties
- space group = F-43m, No. 216
- raw total energy (eV/cell) = -62.69
- relative energy among the computed polymorphs (kJ/mol of formula units) = 0.0
- magnetization (μB/f.u.) = 0.00

abc: 4.2444 4.2444 4.2444
angles: 60.00 60.00 60.00
Last column: nearest neighbours and their distance in Å.
Positions (direct):
1 Br 0.5000 0.5000 0.5000  4 Rh 2.60
2 Rh 0.7500 0.7500 0.7500  4 Br 2.60, 4 Si 2.60
3 Si 0.0000 0.0000 0.0000  4 Rh 2.60